A relaxed structure of RbLiSiAg2. Source: Alexandria via LeMat-Bulk, functional GGA-PBE.

Space-group type   P4/mmm, No. 123
M_tot   0.00 μB/cell

```
RbLiSiAg2
1.0
4.995 0.000 0.000
0.000 4.995 0.000
0.000 0.000 5.149
Rb Li Si Ag
1 1 1 2
direct
0.000 0.000 0.000 Rb
0.500 0.500 0.000 Li
0.500 0.500 0.500 Si
0.000 0.500 0.500 Ag
0.500 0.000 0.500 Ag
```

A relaxed structure of LiHoRe2N6. Source: Alexandria via LeMat-Bulk, functional GGA-PBE.

Space-group type   C2/c, No. 15
M_tot   0.00 μB/cell

```
LiHoRe2N6
1.0
5.526 -4.900 0.000
5.526 4.900 0.000
-2.464 0.000 5.657
Li Ho Re N
2 2 4 12
direct
0.248 0.752 0.750 Li
0.752 0.248 0.250 Li
0.405 0.595 0.250 Ho
0.595 0.405 0.750 Ho
0.119 0.294 0.706 Re
0.294 0.119 0.206 Re
0.706 0.881 0.794 Re
0.881 0.706 0.294 Re
0.115 0.615 0.325 N
0.133 0.165 0.402 N
0.165 0.133 0.902 N
0.288 0.482 0.837 N
0.385 0.885 0.175 N
0.482 0.288 0.337 N
0.518 0.712 0.663 N
0.615 0.115 0.825 N
0.712 0.518 0.163 N
0.835 0.867 0.098 N
0.867 0.835 0.598 N
0.885 0.385 0.675 N
```

A relaxed structure of Pr8Er4Tm3. Source: Alexandria via LeMat-Bulk, functional GGA-PBE.

Space-group type   C2/m, No. 12
M_tot   0.00 μB/cell
Formation energy   5.02 eV/f.u.

```
Pr8Er4Tm3
1.0
6.898 -6.113 0.000
6.898 6.113 0.000
-3.232 0.000 6.091
Pr Er Tm
8 4 3
direct
0.205 0.205 0.177 Pr
0.206 0.794 0.000 Pr
0.254 0.746 0.500 Pr
0.256 0.256 0.714 Pr
0.744 0.744 0.286 Pr
0.746 0.254 0.500 Pr
0.794 0.206 0.000 Pr
0.795 0.795 0.823 Pr
0.000 0.500 0.000 Er
0.500 0.000 0.000 Er
0.500 0.500 0.000 Er
0.500 0.500 0.500 Er
0.000 0.000 0.500 Tm
0.000 0.500 0.500 Tm
0.500 0.000 0.500 Tm
```

Going through the records in order, we get calculated total energy values of -2.807, -8.556, -4.325 eV per atom.